1.
SrHIO GGA-PBE optimized geometry; density of states at the Fermi level = 0.000 states/eV/f.u.; magnetic moment = 0.000 μB per formula unit
1.0
-2.8282 -1.7961 -2.6363
1.5095 -6.9855 3.1399
-7.9881 1.6274 7.4609
I Sr H O
4 4 4 4
Cartesian
-4.6496 -1.0191 0.5118
-6.5594 -2.4086 6.9544
-4.6572 -6.1351 7.4526
-2.7474 -4.7456 1.0101
-3.0297 -4.4831 4.5811
-1.0955 -1.5381 0.4997
-6.2771 -2.6712 3.3834
-8.2112 -5.6161 7.4648
-3.5402 -1.7358 3.2570
-5.7666 -5.4184 4.7075
-9.0362 -1.4133 5.4864
-0.2705 -5.7410 2.4781
0.3675 -6.4524 2.2783
-3.9153 -2.2409 4.0036
-9.6743 -0.7018 5.6862
-5.3914 -4.9134 3.9609


2.
Sr3H2I2O4 GGA-PBE optimized geometry; density of states at the Fermi level = 3.502 states/eV/f.u.; magnetic moment = 1.575 μB per formula unit
1.0
-3.2623 1.7576 0.8400
-1.0040 -2.9211 2.2128
8.7287 7.2112 10.2177
H O Sr I
2 4 3 2
Cartesian
-1.3447 0.2107 2.9303
5.8071 5.8369 10.3402
5.3084 4.3797 11.4525
0.2831 -0.6714 2.5044
-0.8460 1.6680 1.8180
4.1792 6.7191 10.7661
0.0000 0.0000 0.0000
1.4842 1.4918 2.6428
2.9782 4.5558 10.6277
4.1561 4.1775 7.4004
0.3063 1.8702 5.8701


3.
SrHIO GGA-PBE optimized geometry; density of states at the Fermi level = 0.000 states/eV/f.u.; magnetic moment = 0.000 μB per formula unit
1.0
-0.4273 4.2810 0.2414
-2.2013 -2.2212 -2.9650
-4.2269 -0.6255 3.6088
H I Sr O
1 1 1 1
Cartesian
-1.5478 -0.0970 -1.0204
-2.2577 1.8778 1.1611
-5.6629 1.5584 0.7965
-5.0331 -0.6127 1.9559


Number 1: electronic total energy -18.97 eV/f.u.. Number 2: electronic total energy -47.42 eV/f.u.. Number 3: electronic total energy -18.86 eV/f.u..